[1]
Al2NiPb | PBE | relaxed

Values from the calculation:
As for the total energy: -4.27 eV per atom.

Cell: 8.5257 3.0771 6.4808 Å, 90.00 111.17 90.00°
Space group Cm (No. 8)
Inequivalent atoms, fractional coordinates:
Al 0.0000 0.0000 0.0000 x2
Al 0.2054 0.0000 0.7224 x2
Ni 0.2217 0.5000 0.0145 x2
Pb 0.3740 0.0000 0.4013 x2



[2]
LiHoTlIr | PBE | relaxed

Values from the calculation:
As for the total energy: -4.79 eV per atom.

Cell: 6.7723 6.7723 6.7723 Å, 90.00 90.00 90.00°
Space group F-43m (No. 216)
Inequivalent atoms, fractional coordinates:
Li 0.0000 0.0000 0.0000 x4
Ho 0.2500 0.2500 0.2500 x4
Tl 0.2500 0.2500 0.7500 x4
Ir 0.0000 0.0000 0.5000 x4